No. 1
TaTlS2: optimized geometry, PBE.

Output
V, Å³ per atom: 26.873
D(E_F), states/eV per atom: 0.251
Density, g/cm3: 6.9
Uncorrected energy, eV for the cell shown: -97.06

Structure (POSCAR):
```
TaTlS2
1.0
6.204 0.000 0.000
0.000 5.727 0.000
-2.755 0.000 12.102
Ta Tl S
4 4 8
direct
0.023 0.039 0.263 Ta
0.023 0.461 0.763 Ta
0.977 0.539 0.237 Ta
0.977 0.961 0.737 Ta
0.365 0.196 0.934 Tl
0.365 0.304 0.434 Tl
0.635 0.696 0.566 Tl
0.635 0.804 0.066 Tl
0.054 0.247 0.603 S
0.054 0.253 0.103 S
0.295 0.742 0.723 S
0.295 0.758 0.223 S
0.705 0.242 0.777 S
0.705 0.258 0.277 S
0.946 0.747 0.897 S
0.946 0.753 0.397 S
```


No. 2
Cs3KMg2I9: optimized geometry, PBE.

Output
V, Å³ per atom: 47.706
D(E_F), states/eV per atom: 1.065
Density, g/cm3: 3.8
Uncorrected energy, eV for the cell shown: -38.35

Structure (POSCAR):
```
Cs3KMg2I9
1.0
8.420 0.000 0.000
-4.210 7.292 0.000
0.000 0.000 11.654
Cs K Mg I
3 1 2 9
direct
0.000 0.000 0.000 Cs
0.333 0.667 0.722 Cs
0.667 0.333 0.278 Cs
0.000 0.000 0.500 K
0.333 0.667 0.157 Mg
0.667 0.333 0.843 Mg
0.000 0.500 0.000 I
0.171 0.341 0.293 I
0.171 0.829 0.293 I
0.341 0.171 0.707 I
0.500 0.000 0.000 I
0.500 0.500 0.000 I
0.659 0.829 0.293 I
0.829 0.171 0.707 I
0.829 0.659 0.707 I
```


No. 3
SrRhCl2: optimized geometry, PBE.

Output
Offset from the most stable computed form, meV per atom: 13
V, Å³ per atom: 26.337
D(E_F), states/eV per atom: 0.911
Density, g/cm3: 4.1
Uncorrected energy, eV for the cell shown: -16.75

Structure (POSCAR):
```
SrRhCl2
1.0
2.071 1.195 7.093
-2.071 1.195 7.093
0.000 -2.391 7.093
Sr Rh Cl
1 1 2
direct
0.000 0.000 0.000 Sr
0.766 0.766 0.766 Rh
0.258 0.258 0.258 Cl
0.436 0.436 0.436 Cl
```


No. 4
Er6Zn5Au: optimized geometry, PBE.

Output
Formation energy from the elements, eV per atom: -0.44
V, Å³ per atom: 22.224
D(E_F), states/eV per atom: 0.860
Density, g/cm3: 9.5
Uncorrected energy, eV for the cell shown: -42.30

Structure (POSCAR):
```
Er6Zn5Au
1.0
2.504 -7.515 0.000
2.504 7.515 0.000
0.000 0.000 7.086
Er Zn Au
6 5 1
direct
0.000 0.000 0.250 Er
0.000 0.000 0.750 Er
0.333 0.667 0.248 Er
0.333 0.667 0.752 Er
0.667 0.333 0.248 Er
0.667 0.333 0.752 Er
0.168 0.832 0.000 Zn
0.172 0.828 0.500 Zn
0.500 0.500 0.000 Zn
0.828 0.172 0.500 Zn
0.832 0.168 0.000 Zn
0.500 0.500 0.500 Au
```